(1)
The following is a DFT calculation (GGA-PBE) of a geometry-optimized SnPbBr2 structure.

Summary:
As for the relative energy among the computed polymorphs: 0.0 meV per atom. The formation energy without anion corrections comes out at -0.346 eV/atom.

abc: 3.716 3.716 10.800
angles: 80.09 80.09 60.00
Sites, in units of the cell vectors:
Sn1 0.500 0.500 0.500
Br1 0.906 0.906 0.283
Pb1 0.000 0.000 0.000
Br2 0.094 0.094 0.717

(2)
The following is a DFT calculation (GGA-PBE) of a geometry-optimized Ba4Pu3CdO12 structure.

Summary:
The formation energy without anion corrections comes out at -2.725 eV/atom.

abc: 7.588 7.588 7.588
angles: 109.47 109.47 109.47
Each line ends with the local moment (μB).
Sites, in units of the cell vectors:
O1 0.263 0.000 0.263  -0.08
O2 0.750 0.500 0.250  -0.08
Pu1 0.500 0.500 0.000  3.58
Ba1 0.500 0.500 0.500  0.01
Ba2 0.000 0.000 0.500  0.01
O3 0.000 0.263 0.263  -0.08
O4 0.737 0.737 0.000  -0.08
Ba3 0.000 0.500 0.000  0.01
O5 0.500 0.750 0.250  -0.08
O6 0.737 0.000 0.737  -0.08
O7 0.250 0.750 0.500  -0.08
O8 0.250 0.500 0.750  -0.08
Cd1 0.000 0.000 0.000  -0.02
Ba4 0.500 0.000 0.000  0.01
O9 0.500 0.250 0.750  -0.08
Pu2 0.000 0.500 0.500  3.58
O10 0.750 0.250 0.500  -0.08
Pu3 0.500 0.000 0.500  3.58
O11 0.000 0.737 0.737  -0.08
O12 0.263 0.263 0.000  -0.08

(3)
The following is a DFT calculation (GGA-PBE) of a geometry-optimized AcY2MgAg4 structure.

Summary:
The formation energy is -250 meV/atom.

abc: 5.102 5.102 9.416
angles: 74.28 74.28 60.00
Sites, in units of the cell vectors:
Ac1 0.000 0.000 0.000
Ag1 0.604 0.604 0.187
Ag2 0.396 0.396 0.813
Y1 0.237 0.237 0.288
Ag3 0.876 0.876 0.372
Mg1 0.500 0.500 0.500
Y2 0.763 0.763 0.712
Ag4 0.124 0.124 0.628

(4)
The following is a DFT calculation (GGA-PBE) of a geometry-optimized RbCu3P structure.

Summary:
As for the relative energy among the computed polymorphs: 1846.5 meV per atom. The formation energy is 2067 meV/atom.

abc: 5.045 5.045 5.045
angles: 90.00 90.00 90.00
Sites, in units of the cell vectors:
Rb1 0.000 0.000 0.000
Cu1 0.000 0.500 0.000
Cu2 0.500 0.000 0.000
Cu3 0.000 0.000 0.500
P1 0.500 0.500 0.500

Number 1: total magnetization 0.0000 μB/atom, electronic total energy -3.110 eV per atom. Number 2: total magnetization 0.5000 μB/atom, electronic total energy -8.280 eV per atom. Number 3: total magnetization 0.0000 μB/atom, electronic total energy -4.004 eV per atom. Number 4: total magnetization 0.0000 μB/atom, electronic total energy -1.666 eV per atom.